Compound: Ce3Bi4Au3
Source: Alexandria
Functional: GGA-PBEsol
Structure: relaxed

Computed properties:
* total moment: 2.9 μB per formula unit
* E_form: -0.636 eV/atom

a b c (Å): 8.778 8.778 8.778
angles (deg): 109.47 109.47 109.47
Last column: magnetic moment on the atom in μB.
Element x y z (fractional)
Ce 0.875 0.125 0.750  0.01
Ce 0.125 0.250 0.375  0.01
Ce 0.375 0.750 0.125  0.01
Ce 0.250 0.875 0.625  0.01
Ce 0.625 0.375 0.250  0.01
Ce 0.750 0.625 0.875  0.01
Bi 0.683 0.000 0.000  -0.01
Bi 0.000 0.500 0.183  -0.01
Bi 0.500 0.683 0.500  -0.01
Bi 0.000 0.500 0.683  -0.01
Bi 0.183 0.000 0.000  -0.01
Bi 0.817 0.817 0.317  -0.01
Bi 0.317 0.317 0.817  -0.01
Bi 0.500 0.183 0.500  -0.01
Au 0.625 0.250 0.875  0.88
Au 0.750 0.125 0.375  0.88
Au 0.875 0.750 0.625  0.88
Au 0.250 0.375 0.125  0.88
Au 0.375 0.625 0.750  0.88
Au 0.125 0.875 0.250  0.88

Compound: MnAuSN2
Source: Alexandria
Functional: GGA-PBEsol
Structure: relaxed

Computed properties:
* formation energy from raw total energies: 0.555 eV/atom
* total moment: 0.0 μB per formula unit

a b c (Å): 3.527 3.527 5.155
angles (deg): 90.00 90.00 90.00
Element x y z (fractional)
S 0.000 0.000 0.500
Mn 0.000 0.000 0.000
N 0.000 0.500 0.000
N 0.500 0.000 0.000
Au 0.500 0.500 0.500

Compound: CaHg2Bi
Source: Alexandria
Functional: GGA-PBEsol
Structure: relaxed

Computed properties:
* total moment: 0.0 μB per formula unit
* E_form: -0.354 eV/atom

a b c (Å): 4.504 4.504 11.501
angles (deg): 101.29 101.29 90.00
Element x y z (fractional)
Hg 0.625 0.628 0.750
Hg 0.372 0.875 0.250
Hg 0.878 0.375 0.250
Hg 0.125 0.122 0.750
Ca 0.750 0.250 0.500
Ca 0.500 0.500 0.000
Bi 0.000 0.000 0.000
Bi 0.250 0.750 0.500

Compound: InNi
Source: Alexandria
Functional: GGA-PBEsol
Structure: relaxed

Computed properties:
* total moment: 0.0 μB per formula unit
* E_form: -0.136 eV/atom

a b c (Å): 4.123 5.153 5.841
angles (deg): 90.00 90.00 90.00
Element x y z (fractional)
In 0.750 0.861 0.169
In 0.250 0.139 0.831
In 0.250 0.361 0.331
In 0.750 0.639 0.669
Ni 0.750 0.358 0.037
Ni 0.750 0.142 0.537
Ni 0.250 0.642 0.963
Ni 0.250 0.858 0.463

Compound: CuHgAu2
Source: Alexandria
Functional: GGA-PBEsol
Structure: relaxed

Computed properties:
* total moment: 0.0 μB per formula unit
* E_form: 0.041 eV/atom

a b c (Å): 2.988 4.766 5.087
angles (deg): 106.07 107.08 90.00
Element x y z (fractional)
Au 0.270 0.267 0.541
Au 0.730 0.733 0.459
Cu 0.000 0.500 0.000
Hg 0.500 0.000 0.000

Compound: KTa3Te
Source: Alexandria
Functional: GGA-PBEsol
Structure: relaxed

Computed properties:
* formation energy from raw total energies: 2.829 eV/atom
* total moment: 0.0 μB per formula unit

a b c (Å): 4.681 4.681 4.681
angles (deg): 90.00 90.00 90.00
Element x y z (fractional)
Ta 0.500 0.000 0.000
Ta 0.000 0.500 0.000
Ta 0.000 0.000 0.500
K 0.000 0.000 0.000
Te 0.500 0.500 0.500

What is the formula in the fifth record? CuHgAu2